VASP calculation (PBE with a Hubbard U) on a relaxed structure of Mn4Cu3HgO12.

Lattice parameters (Å, degrees): 6.435 6.435 6.435 109.47 109.47 109.47
Site moments in Bohr magnetons follow the coordinates.
Element x y z (fractional)
Mn  0.500  0.000  0.000  3.78
Mn  0.500  0.500  0.500  3.78
Mn  0.000  0.500  0.000  3.78
Mn  0.000  0.000  0.500  3.78
Cu  0.000  0.500  0.500  0.13
Cu  0.500  0.500  0.000  0.13
Cu  0.500  0.000  0.500  0.13
Hg  0.000  0.000  0.000  0.02
O  0.315  0.827  0.142  -0.07
O  0.685  0.173  0.858  -0.07
O  0.685  0.827  0.512  -0.07
O  0.858  0.685  0.173  -0.07
O  0.827  0.142  0.315  -0.07
O  0.173  0.488  0.315  -0.07
O  0.488  0.315  0.173  -0.07
O  0.173  0.858  0.685  -0.07
O  0.315  0.173  0.488  -0.07
O  0.142  0.315  0.827  -0.07
O  0.827  0.512  0.685  -0.07
O  0.512  0.685  0.827  -0.07

Computed properties:
magnetization	15.042	μB/f.u.
total energy	-6.069	eV per atom
space group	Im-3